(1)
Below is a geometry-optimized LiLaMo2 structure, with properties calculated at the PBE-GGA level.

a = 2.7460 Å, b = 2.7460 Å, c = 9.9584 Å
α = 90.00°, β = 90.00°, γ = 90.00°
With the nearest neighbours (Å) after each atom.
Space group P4/mmm (No. 123)
Symmetry-distinct sites (fractional):
Li 0.0000 0.0000 0.0000 [1 per cell]  4 Li 2.75, 8 Mo 2.97
La 0.0000 0.0000 0.5000 [1 per cell]  4 La 2.75
Mo 0.5000 0.5000 0.2252 [2 per cell]  4 Mo 2.75, 4 Li 2.97

The formation energy comes out at 0.698 eV per atom. As for the final energy: -6.428 eV per atom. As for the energy above the most stable polymorph in this dataset: 365.7 meV per atom.


(2)
Below is a geometry-optimized LiLaMo2 structure, with properties calculated at the PBE-GGA level.

a = 3.9594 Å, b = 3.9594 Å, c = 9.7584 Å
α = 90.00°, β = 90.00°, γ = 90.00°
With the nearest neighbours (Å) after each atom.
Space group I4/mmm (No. 139)
Symmetry-distinct sites (fractional):
Li 0.0000 0.0000 0.0000 [2 per cell]  4 La 2.80
La 0.0000 0.0000 0.5000 [2 per cell]  4 Li 2.80
Mo 0.0000 0.5000 0.2500 [4 per cell]  4 Mo 2.80

The formation energy comes out at 0.648 eV per atom. As for the final energy: -6.478 eV per atom. As for the energy above the most stable polymorph in this dataset: 316.0 meV per atom.


(3)
Below is a geometry-optimized LiLaMo2 structure, with properties calculated at the PBE-GGA level.

a = 2.8662 Å, b = 2.8662 Å, c = 32.3298 Å
α = 90.00°, β = 90.00°, γ = 120.00°
With the nearest neighbours (Å) after each atom.
Space group R-3m (No. 166, hexagonal axes)
Symmetry-distinct sites (fractional):
Li 0.0000 0.0000 0.0000 [3 per cell]  6 Li 2.87, 6 Mo 2.96
La 0.0000 0.0000 0.5000 [3 per cell]  6 La 2.87
Mo 0.0000 0.0000 0.2574 [6 per cell]  6 Mo 2.87, 3 Li 2.96

The formation energy comes out at 0.869 eV per atom. As for the final energy: -6.257 eV per atom. As for the energy above the most stable polymorph in this dataset: 536.3 meV per atom.


(4)
Below is a geometry-optimized LiLa2Mo structure, with properties calculated at the PBE-GGA level.

a = 3.0871 Å, b = 3.0871 Å, c = 10.1152 Å
α = 90.00°, β = 90.00°, γ = 90.00°
With the nearest neighbours (Å) after each atom.
Space group P4mm (No. 99)
Symmetry-distinct sites (fractional):
Li 0.0000 0.0000 0.0000 [1 per cell]  4 Mo 2.84, 4 Li 3.09
La 0.0000 0.0000 0.4152 [1 per cell]  4 La 3.09, 4 Mo 3.23
La 0.5000 0.5000 0.7444 [1 per cell]  4 La 3.09, 4 Li 3.38
Mo 0.5000 0.5000 0.1794 [1 per cell]  4 Li 2.84, 4 Mo 3.09

The formation energy comes out at 0.577 eV per atom. As for the final energy: -5.073 eV per atom. As for the energy above the most stable polymorph in this dataset: 285.6 meV per atom.


(5)
Below is a geometry-optimized LiLaMo structure, with properties calculated at the PBE-GGA level.

a = 6.6850 Å, b = 6.6850 Å, c = 6.6850 Å
α = 90.00°, β = 90.00°, γ = 90.00°
With the nearest neighbours (Å) after each atom.
Space group F-43m (No. 216)
Symmetry-distinct sites (fractional):
Li 0.0000 0.0000 0.0000 [4 per cell]  4 Mo 2.89
La 0.0000 0.0000 0.5000 [4 per cell]  4 Mo 2.89
Mo 0.2500 0.2500 0.2500 [4 per cell]  4 La 2.89, 4 Li 2.89

The formation energy comes out at 0.963 eV per atom. As for the final energy: -4.928 eV per atom. As for the energy above the most stable polymorph in this dataset: 389.2 meV per atom.


(6)
Below is a geometry-optimized LiLa2Mo structure, with properties calculated at the PBE-GGA level.

a = 9.1585 Å, b = 3.1996 Å, c = 7.2250 Å
α = 90.00°, β = 94.98°, γ = 90.00°
With the nearest neighbours (Å) after each atom.
Space group C2/m (No. 12)
Symmetry-distinct sites (fractional):
Li 0.0000 0.0000 0.0000 [2 per cell]  6 La 3.15-3.35, 2 Li 3.20
La 0.2458 0.0000 0.7217 [4 per cell]  3 Mo 2.94-3.09, 1 Li 3.15, 2 La 3.20
Mo 0.0000 0.5000 0.5000 [2 per cell]  6 La 2.94-3.09, 2 Mo 3.20

The formation energy comes out at 0.485 eV per atom. As for the final energy: -5.165 eV per atom. As for the energy above the most stable polymorph in this dataset: 193.7 meV per atom.


(7)
Below is a geometry-optimized LiLaMo2 structure, with properties calculated at the PBE-GGA level.

a = 5.5306 Å, b = 10.2589 Å, c = 2.8220 Å
α = 90.00°, β = 110.07°, γ = 90.00°
With the nearest neighbours (Å) after each atom.
Space group C2/m (No. 12)
Symmetry-distinct sites (fractional):
Li 0.0000 0.0000 0.0000 [2 per cell]  2 La 2.77, 2 Li 2.82, 4 Mo 3.02
La 0.0000 0.5000 0.0000 [2 per cell]  2 Li 2.77, 2 La 2.82, 4 Mo 3.02
Mo 0.2500 0.2500 0.5000 [4 per cell]  4 Mo 2.77-2.82, 2 Li 3.02, 2 La 3.02

The formation energy comes out at 0.622 eV per atom. As for the final energy: -6.504 eV per atom. As for the energy above the most stable polymorph in this dataset: 289.8 meV per atom.


(8)
Below is a geometry-optimized LiLa2Mo structure, with properties calculated at the PBE-GGA level.

a = 3.6570 Å, b = 5.1537 Å, c = 10.7377 Å
α = 90.00°, β = 90.00°, γ = 90.00°
With the nearest neighbours (Å) after each atom.
Space group Imm2 (No. 44)
Symmetry-distinct sites (fractional):
Li 0.0000 0.0000 0.0000 [2 per cell]  2 Mo 2.87
La 0.0000 0.0000 0.4109 [2 per cell]  2 Mo 2.86
La 0.0000 0.5000 0.2018 [2 per cell]  4 Mo 3.16, 2 Li 3.37, 2 La 3.42
Mo 0.0000 0.5000 0.7057 [2 per cell]  6 La 2.86-3.16, 2 Li 2.87

The formation energy comes out at 0.415 eV per atom. As for the final energy: -5.234 eV per atom. As for the energy above the most stable polymorph in this dataset: 124.3 meV per atom.


(9)
Below is a geometry-optimized LiLaMo2 structure, with properties calculated at the PBE-GGA level.

a = 3.4488 Å, b = 3.4488 Å, c = 6.7395 Å
α = 90.00°, β = 90.00°, γ = 90.00°
With the nearest neighbours (Å) after each atom.
Space group P4/mmm (No. 123)
Symmetry-distinct sites (fractional):
Li 0.0000 0.0000 0.0000 [1 per cell]  8 Mo 2.68
La 0.0000 0.0000 0.5000 [1 per cell]  8 Mo 3.32, 2 Li 3.37, 4 La 3.45
Mo 0.5000 0.5000 0.1648 [2 per cell]  1 Mo 2.22

The formation energy comes out at 0.621 eV per atom. As for the final energy: -6.505 eV per atom. As for the energy above the most stable polymorph in this dataset: 288.5 meV per atom.


(10)
Below is a geometry-optimized LiLaMo structure, with properties calculated at the PBE-GGA level.

a = 3.4981 Å, b = 5.1934 Å, c = 14.6056 Å
α = 90.00°, β = 90.00°, γ = 90.00°
With the nearest neighbours (Å) after each atom.
Space group Fmm2 (No. 42)
Symmetry-distinct sites (fractional):
Li 0.0000 0.0000 0.0000 [4 per cell]  2 Mo 2.74
La 0.0000 0.0000 0.2904 [4 per cell]  2 Mo 2.75
Mo 0.0000 0.0000 0.6448 [4 per cell]  2 Li 2.74, 2 La 2.75

The formation energy comes out at 0.585 eV per atom. As for the final energy: -5.306 eV per atom. As for the energy above the most stable polymorph in this dataset: 11.9 meV per atom.


(11)
Below is a geometry-optimized LiLaMo3 structure, with properties calculated at the PBE-GGA level.

a = 4.5423 Å, b = 4.5423 Å, c = 4.5423 Å
α = 90.00°, β = 90.00°, γ = 90.00°
With the nearest neighbours (Å) after each atom.
Space group Pm-3m (No. 221)
Symmetry-distinct sites (fractional):
Li 0.0000 0.0000 0.0000 [1 per cell]  6 Mo 2.27
La 0.5000 0.5000 0.5000 [1 per cell]  12 Mo 3.21
Mo 0.0000 0.0000 0.5000 [3 per cell]  2 Li 2.27

The formation energy comes out at 1.362 eV per atom. As for the final energy: -6.505 eV per atom. As for the energy above the most stable polymorph in this dataset: 0.0 meV per atom.


(12)
Below is a geometry-optimized LiLa2Mo structure, with properties calculated at the PBE-GGA level.

a = 4.4702 Å, b = 4.4702 Å, c = 9.5295 Å
α = 90.00°, β = 90.00°, γ = 90.00°
With the nearest neighbours (Å) after each atom.
Space group I-4m2 (No. 119)
Symmetry-distinct sites (fractional):
Li 0.0000 0.0000 0.0000 [2 per cell]  8 La 3.16-3.27, 4 Mo 3.27
La 0.0000 0.0000 0.5000 [2 per cell]  4 Li 3.16, 4 La 3.27, 4 Mo 3.27
La 0.0000 0.5000 0.2500 [2 per cell]  4 Mo 3.16, 4 La 3.27, 4 Li 3.27
Mo 0.0000 0.5000 0.7500 [2 per cell]  8 La 3.16-3.27, 4 Li 3.27

The formation energy comes out at 0.469 eV per atom. As for the final energy: -5.181 eV per atom. As for the energy above the most stable polymorph in this dataset: 177.4 meV per atom.


(13)
Below is a geometry-optimized Li3LaMo structure, with properties calculated at the PBE-GGA level.

a = 4.9501 Å, b = 4.9501 Å, c = 4.9501 Å
α = 90.00°, β = 90.00°, γ = 90.00°
With the nearest neighbours (Å) after each atom.
Space group Pm-3m (No. 221)
Symmetry-distinct sites (fractional):
Li 0.0000 0.0000 0.5000 [3 per cell]  2 Mo 2.48
La 0.5000 0.5000 0.5000 [1 per cell]  12 Li 3.50
Mo 0.0000 0.0000 0.0000 [1 per cell]  6 Li 2.48

The formation energy comes out at 0.911 eV per atom. As for the final energy: -3.389 eV per atom. As for the energy above the most stable polymorph in this dataset: 0.0 meV per atom.


(14)
Below is a geometry-optimized LiLa2Mo structure, with properties calculated at the PBE-GGA level.

a = 3.5688 Å, b = 3.5768 Å, c = 8.6409 Å
α = 90.00°, β = 90.16°, γ = 90.00°
With the nearest neighbours (Å) after each atom.
Space group P2/m (No. 10)
Symmetry-distinct sites (fractional):
Li 0.0000 0.0000 0.0000 [1 per cell]  4 Li 3.57-3.58, 8 La 3.57
La 0.4980 0.5000 0.7078 [2 per cell]  4 Mo 3.09-3.11
Mo 0.0000 0.0000 0.5000 [1 per cell]  8 La 3.09-3.11

The formation energy comes out at 0.291 eV per atom. As for the final energy: -5.359 eV per atom. As for the energy above the most stable polymorph in this dataset: 0.0 meV per atom.


(15)
Below is a geometry-optimized LiLa2Mo structure, with properties calculated at the PBE-GGA level.

a = 7.3282 Å, b = 7.3282 Å, c = 7.3282 Å
α = 90.00°, β = 90.00°, γ = 90.00°
With the nearest neighbours (Å) after each atom.
Space group Fm-3m (No. 225)
Symmetry-distinct sites (fractional):
Li 0.0000 0.0000 0.0000 [4 per cell]  8 La 3.17
La 0.2500 0.2500 0.2500 [8 per cell]  4 Mo 3.17, 4 Li 3.17
Mo 0.0000 0.0000 0.5000 [4 per cell]  8 La 3.17

The formation energy comes out at 0.295 eV per atom. As for the final energy: -5.355 eV per atom. As for the energy above the most stable polymorph in this dataset: 3.9 meV per atom.


(16)
Below is a geometry-optimized LiLa2Mo structure, with properties calculated at the PBE-GGA level.

a = 3.6972 Å, b = 3.6972 Å, c = 7.3663 Å
α = 90.00°, β = 90.00°, γ = 90.00°
With the nearest neighbours (Å) after each atom.
Space group P4mm (No. 99)
Symmetry-distinct sites (fractional):
Li 0.0000 0.0000 0.0000 [1 per cell]  4 Mo 2.78, 5 La 2.84-3.05
La 0.0000 0.0000 0.3855 [1 per cell]  1 Li 2.84
La 0.5000 0.5000 0.7858 [1 per cell]  1 Mo 2.53
Mo 0.5000 0.5000 0.1300 [1 per cell]  1 La 2.53, 4 Li 2.78

The formation energy comes out at 0.439 eV per atom. As for the final energy: -5.211 eV per atom. As for the energy above the most stable polymorph in this dataset: 147.4 meV per atom.


(17)
Below is a geometry-optimized LiLaMo2 structure, with properties calculated at the PBE-GGA level.

a = 2.9015 Å, b = 4.3388 Å, c = 6.4738 Å
α = 90.00°, β = 101.49°, γ = 90.00°
With the nearest neighbours (Å) after each atom.
Space group Pm (No. 6)
Symmetry-distinct sites (fractional):
Li 0.0000 0.0000 0.0000 [1 per cell]  3 Mo 2.66-2.83, 2 Li 2.90
La 0.3087 0.5000 0.6845 [1 per cell]  2 La 2.90, 3 Mo 3.03-3.22, 2 Li 3.23
Mo 0.5110 0.5000 0.2128 [1 per cell]  2 Mo 2.55, 2 Li 2.83
Mo 0.8375 0.0000 0.3900 [1 per cell]  2 Mo 2.55, 1 Li 2.66

The formation energy comes out at 0.437 eV per atom. As for the final energy: -6.689 eV per atom. As for the energy above the most stable polymorph in this dataset: 104.3 meV per atom.


(18)
Below is a geometry-optimized LiLa2Mo structure, with properties calculated at the PBE-GGA level.

a = 3.7355 Å, b = 5.5675 Å, c = 10.3900 Å
α = 90.00°, β = 90.00°, γ = 90.00°
With the nearest neighbours (Å) after each atom.
Space group Cmmm (No. 65)
Symmetry-distinct sites (fractional):
Li 0.0000 0.0000 0.0000 [2 per cell]  6 Li 3.35-3.74, 4 La 3.55
La 0.0000 0.5000 0.2907 [4 per cell]  2 Mo 2.87
Mo 0.0000 0.0000 0.5000 [2 per cell]  4 La 2.87

The formation energy comes out at 0.339 eV per atom. As for the final energy: -5.311 eV per atom. As for the energy above the most stable polymorph in this dataset: 47.6 meV per atom.


(19)
Below is a geometry-optimized LiLa2Mo structure, with properties calculated at the PBE-GGA level.

a = 7.3460 Å, b = 7.3501 Å, c = 3.7352 Å
α = 90.00°, β = 90.18°, γ = 90.00°
With the nearest neighbours (Å) after each atom.
Space group C2/m (No. 12)
Symmetry-distinct sites (fractional):
Li 0.0000 0.0000 0.0000 [2 per cell]  8 La 3.20
La 0.2500 0.2500 0.5000 [4 per cell]  4 Mo 3.20, 4 Li 3.20
Mo 0.0000 0.5000 0.0000 [2 per cell]  8 La 3.20

The formation energy comes out at 0.381 eV per atom. As for the final energy: -5.269 eV per atom. As for the energy above the most stable polymorph in this dataset: 89.5 meV per atom.


(20)
Below is a geometry-optimized LiLaMo structure, with properties calculated at the PBE-GGA level.

a = 2.9002 Å, b = 4.4917 Å, c = 9.4104 Å
α = 90.00°, β = 90.00°, γ = 90.00°
With the nearest neighbours (Å) after each atom.
Space group Imm2 (No. 44)
Symmetry-distinct sites (fractional):
Li 0.0000 0.0000 0.0000 [2 per cell]  2 Li 2.90, 5 La 2.96-3.19, 4 Mo 2.97
La 0.0000 0.0000 0.3142 [2 per cell]  2 La 2.90, 5 Li 2.96-3.19, 5 Mo 3.03-3.15
Mo 0.0000 0.0000 0.6364 [2 per cell]  2 Mo 2.90, 4 Li 2.97, 5 La 3.03-3.15

The formation energy comes out at 0.594 eV per atom. As for the final energy: -5.296 eV per atom. As for the energy above the most stable polymorph in this dataset: 21.0 meV per atom.


(21)
Below is a geometry-optimized Li2LaMoN4 structure, with properties calculated at the PBE-GGA level.

a = 7.8507 Å, b = 5.3449 Å, c = 5.1341 Å
α = 90.00°, β = 90.00°, γ = 90.00°
With the nearest neighbours (Å) after each atom.
Space group Pmn2_1 (No. 31)
Symmetry-distinct sites (fractional):
Li 0.2481 0.2112 0.0000 [4 per cell]  4 N 2.06-2.11
La 0.0000 0.2303 0.4932 [2 per cell]  4 N 2.44-2.66
Mo 0.0000 0.6951 0.0192 [2 per cell]  4 N 1.86-1.89
N 0.0000 0.3495 0.9649 [2 per cell]  1 Mo 1.87, 2 Li 2.09
N 0.0000 0.7150 0.3802 [2 per cell]  1 Mo 1.86
N 0.2006 0.8441 0.8883 [4 per cell]  1 Mo 1.89, 2 Li 2.06-2.08

As for the final energy: -7.274 eV per atom.


(22)
Below is a geometry-optimized Li2LaMoN structure, with properties calculated at the PBE-GGA level.

a = 4.8241 Å, b = 4.8241 Å, c = 3.9807 Å
α = 90.00°, β = 90.00°, γ = 90.00°
With the nearest neighbours (Å) after each atom.
Space group P4/mmm (No. 123)
Symmetry-distinct sites (fractional):
Li 0.0000 0.5000 0.0000 [2 per cell]  2 Mo 2.41
La 0.0000 0.0000 0.5000 [1 per cell]  8 Li 3.13, 4 N 3.41
Mo 0.5000 0.5000 0.0000 [1 per cell]  2 N 1.99
N 0.5000 0.5000 0.5000 [1 per cell]  2 Mo 1.99

As for the final energy: -5.218 eV per atom.